Record 1
# HfMgRhAu

A relaxed HfMgRhAu crystal (PBE, Alexandria via LeMat-Bulk).

The structure in POSCAR format:
```
HfMgRhAu
1.0
4.633 0.000 0.000
2.317 4.012 0.000
2.317 1.337 3.783
Au Hf Mg Rh
1 1 1 1
Direct
0.750 0.750 0.750
0.500 0.500 0.500
0.000 0.000 0.000
0.250 0.250 0.250
```

## Properties
Total magnetic moment ... 0.00 μB/atom
Energy of formation ... -2.5 eV per formula unit
Fermi-level density of states ... 3.5 states/eV/f.u.

Record 2
# HfMgRuAu

A relaxed HfMgRuAu crystal (PBE, Alexandria via LeMat-Bulk).

The structure in POSCAR format:
```
HfMgRuAu
1.0
4.614 0.000 0.000
2.307 3.996 0.000
2.307 1.332 3.767
Mg Ru Hf Au
1 1 1 1
Direct
0.000 0.000 0.000
0.750 0.750 0.750
0.500 0.500 0.500
0.250 0.250 0.250
```

## Properties
Total magnetic moment ... 0.00 μB/atom
Energy of formation ... -1.7 eV per formula unit
Fermi-level density of states ... 2.3 states/eV/f.u.

Record 3
# HfMgTlAu

A relaxed HfMgTlAu crystal (PBE, Alexandria via LeMat-Bulk).

The structure in POSCAR format:
```
HfMgTlAu
1.0
-3.488 0.482 -3.394
-0.221 -3.141 -3.742
-3.639 -3.258 -0.246
Hf Mg Tl Au
1 1 1 1
Direct
0.250 0.250 0.250
0.750 0.750 0.750
0.500 0.500 0.500
0.000 0.000 0.000
```

## Properties
Total magnetic moment ... 0.00 μB/atom
Energy of formation ... -0.7 eV per formula unit
Fermi-level density of states ... 1.4 states/eV/f.u.

Record 4
# HfMgW2Au

A relaxed HfMgW2Au crystal (PBE, Alexandria via LeMat-Bulk).

The structure in POSCAR format:
```
HfMgW2Au
1.0
4.920 0.000 0.000
0.000 5.027 0.000
0.000 0.000 4.920
Mg W Au Hf
1 2 1 1
Direct
0.500 0.500 0.500
0.000 0.000 0.500
0.500 0.000 0.000
0.000 0.000 0.000
0.000 0.500 0.000
```

## Properties
Total magnetic moment ... 0.00 μB/atom
Energy of formation ... 9.1 eV per formula unit
Fermi-level density of states ... 7.0 states/eV/f.u.

Record 5
# Hf2Mn2Au

A relaxed Hf2Mn2Au crystal (PBE, Alexandria via LeMat-Bulk).

The structure in POSCAR format:
```
Hf2Mn2Au
1.0
6.575 0.000 0.000
0.000 6.575 0.000
0.000 0.000 3.863
Hf Au Mn
4 2 4
Direct
0.682 0.818 0.500
0.182 0.682 0.500
0.318 0.182 0.500
0.818 0.318 0.500
0.500 0.500 0.000
0.000 0.000 0.000
0.891 0.609 0.000
0.391 0.891 0.000
0.109 0.391 0.000
0.609 0.109 0.000
```

## Properties
Total magnetic moment ... 0.21 μB/atom
Energy of formation ... -0.9 eV per formula unit
Fermi-level density of states ... 4.5 states/eV/f.u.

Record 6
# HfMn4Au

A relaxed HfMn4Au crystal (PBE, Alexandria via LeMat-Bulk).

The structure in POSCAR format:
```
HfMn4Au
1.0
-2.395 3.124 -2.836
-3.837 2.405 1.740
0.305 4.767 0.845
Mn Au Hf
4 1 1
Direct
0.134 0.622 0.622
0.622 0.622 0.622
0.622 0.134 0.622
0.622 0.622 0.134
0.250 0.250 0.250
0.000 0.000 0.000
```

## Properties
Total magnetic moment ... 0.01 μB/atom
Energy of formation ... -0.1 eV per formula unit
Fermi-level density of states ... 5.3 states/eV/f.u.

Record 7
# HfMnAu2

A relaxed HfMnAu2 crystal (PBE, Alexandria via LeMat-Bulk).

The structure in POSCAR format:
```
HfMnAu2
1.0
-3.573 0.975 -1.324
-1.637 -1.822 3.077
-2.233 7.894 5.998
Mn Au Hf
2 4 2
Direct
0.500 0.500 0.000
0.250 0.750 0.500
0.134 0.625 0.250
0.875 0.866 0.750
0.375 0.384 0.750
0.616 0.125 0.250
0.000 0.000 0.000
0.750 0.250 0.500
```

## Properties
Total magnetic moment ... 0.69 μB/atom
Energy of formation ... 0.7 eV per formula unit
Fermi-level density of states ... 3.7 states/eV/f.u.

Record 8
# Hf2MnAu

A relaxed Hf2MnAu crystal (PBE, Alexandria via LeMat-Bulk).

The structure in POSCAR format:
```
Hf2MnAu
1.0
3.157 0.000 0.000
0.000 3.157 0.000
0.000 0.000 7.121
Mn Hf Au
1 2 1
Direct
0.500 0.500 0.000
0.000 0.000 0.783
0.000 0.000 0.217
0.500 0.500 0.500
```

## Properties
Total magnetic moment ... 0.00 μB/atom
Energy of formation ... -1.4 eV per formula unit
Fermi-level density of states ... 2.9 states/eV/f.u.